[1]
First-principles (PBE-GGA) data for crystalline CaLa2NiAg at its relaxed geometry, as listed in Alexandria.

Cell: 5.373 5.373 5.231 Å, 90.00 90.00 90.00°
Positions (direct):
Ag (0.000, 0.000, 0.500)
La (0.500, 0.000, 0.000)
La (0.000, 0.500, 0.000)
Ni (0.000, 0.000, 0.000)
Ca (0.500, 0.500, 0.500)

Results
magnetization	0.000	μB/atom
formation enthalpy at 0 K	-35	meV per atom
energy relative to the lowest polymorph listed for this composition	41	meV per atom

---

[2]
First-principles (PBE-GGA) data for crystalline Li2Pr3Pt3 at its relaxed geometry, as listed in Alexandria.

Cell: 5.832 8.716 8.716 Å, 120.00 90.00 90.00°
Positions (direct):
Li (0.500, 0.333, 0.667)
Li (0.000, 0.333, 0.667)
Li (0.000, 0.667, 0.333)
Li (0.500, 0.667, 0.333)
Pr (0.750, 0.286, 0.000)
Pr (0.250, 0.000, 0.714)
Pr (0.250, 0.286, 0.286)
Pr (0.750, 0.714, 0.714)
Pr (0.750, 0.000, 0.286)
Pr (0.250, 0.714, 0.000)
Pt (0.250, 0.000, 0.377)
Pt (0.250, 0.623, 0.623)
Pt (0.750, 0.377, 0.377)
Pt (0.750, 0.623, 0.000)
Pt (0.750, 0.000, 0.623)
Pt (0.250, 0.377, 0.000)

Results
magnetization	0.000	μB/atom
formation enthalpy at 0 K	-801	meV per atom
energy relative to the lowest polymorph listed for this composition	33	meV per atom

---

[3]
First-principles (PBE-GGA) data for crystalline RbNaHgS2 at its relaxed geometry, as listed in Alexandria.

Cell: 6.177 6.681 8.045 Å, 114.53 90.00 90.00°
Positions (direct):
S (0.740, 0.883, 0.765)
S (0.260, 0.383, 0.765)
S (0.740, 0.617, 0.235)
S (0.260, 0.117, 0.235)
Rb (0.228, 0.750, 0.500)
Rb (0.772, 0.250, 0.500)
Na (0.500, 0.750, 0.000)
Na (0.500, 0.250, 0.000)
Hg (0.000, 0.000, 0.000)
Hg (0.000, 0.500, 0.000)

Results
magnetization	0.000	μB/atom
energy	-2.961	eV/atom

---

[4]
First-principles (PBE-GGA) data for crystalline Zn2As at its relaxed geometry, as listed in Alexandria.

Cell: 6.569 6.569 4.995 Å, 90.00 90.00 150.39°
Positions (direct):
As (0.802, 0.198, 0.750)
As (0.198, 0.802, 0.250)
Zn (0.459, 0.541, 0.750)
Zn (0.874, 0.126, 0.250)
Zn (0.126, 0.874, 0.750)
Zn (0.541, 0.459, 0.250)

Results
magnetization	0.000	μB/atom
formation enthalpy at 0 K	106	meV per atom
energy relative to the lowest polymorph listed for this composition	87	meV per atom

---

[5]
First-principles (PBE-GGA) data for crystalline SmDyZnAu at its relaxed geometry, as listed in Alexandria.

Cell: 3.639 3.639 7.155 Å, 90.00 90.00 90.00°
Positions (direct):
Zn (0.000, 0.000, 0.868)
Au (0.000, 0.000, 0.343)
Sm (0.500, 0.500, 0.611)
Dy (0.500, 0.500, 0.107)

Results
magnetization	0.000	μB/atom
formation enthalpy at 0 K	-584	meV per atom
energy relative to the lowest polymorph listed for this composition	0	meV per atom

---

[6]
First-principles (PBE-GGA) data for crystalline PrLuCo2 at its relaxed geometry, as listed in Alexandria.

Cell: 3.380 3.380 6.768 Å, 90.00 90.00 90.00°
Positions (direct):
Pr (0.500, 0.500, 0.500)
Co (0.000, 0.000, 0.229)
Co (0.000, 0.000, 0.771)
Lu (0.500, 0.500, 0.000)

Results
magnetization	0.226	μB/atom
formation enthalpy at 0 K	-55	meV per atom
energy relative to the lowest polymorph listed for this composition	0	meV per atom

---

[7]
First-principles (PBE-GGA) data for crystalline LaHfAlPt2 at its relaxed geometry, as listed in Alexandria.

Cell: 4.259 4.259 6.648 Å, 108.68 108.68 90.00°
Positions (direct):
Pt (0.615, 0.615, 0.230)
Pt (0.385, 0.385, 0.770)
Al (0.750, 0.250, 0.500)
Hf (0.250, 0.750, 0.500)
La (0.000, 0.000, 0.000)

Results
magnetization	0.000	μB/atom
formation enthalpy at 0 K	-1057	meV per atom

---

[8]
First-principles (PBE-GGA) data for crystalline NbIrPb at its relaxed geometry, as listed in Alexandria.

Cell: 6.418 4.580 7.566 Å, 72.71 64.91 45.52°
Positions (direct):
Pb (0.768, 0.463, 0.000)
Pb (0.232, 0.537, 0.000)
Nb (0.750, 0.500, 0.500)
Nb (0.250, 0.500, 0.500)
Ir (0.663, 0.000, 0.674)
Ir (0.337, 0.000, 0.326)

Results
magnetization	0.000	μB/atom
formation enthalpy at 0 K	51	meV per atom

---

[9]
First-principles (PBE-GGA) data for crystalline Li2NpPbBr8 at its relaxed geometry, as listed in Alexandria.

Cell: 7.022 7.255 8.861 Å, 72.39 90.21 101.63°
Positions (direct):
Br (0.883, 0.240, 0.712)
Br (0.877, 0.220, 0.173)
Br (0.117, 0.760, 0.288)
Br (0.640, 0.751, 0.052)
Br (0.395, 0.273, 0.436)
Br (0.123, 0.780, 0.827)
Br (0.605, 0.727, 0.564)
Br (0.360, 0.249, 0.948)
Pb (0.000, 0.000, 0.500)
Np (0.000, 0.000, 0.000)
Li (0.540, 0.352, 0.674)
Li (0.460, 0.648, 0.326)

Results
magnetization	0.250	μB/atom
energy	-4.062	eV/atom

---

[10]
First-principles (PBE-GGA) data for crystalline YAl8Pd2 at its relaxed geometry, as listed in Alexandria.

Cell: 5.710 5.710 7.880 Å, 90.00 90.00 90.00°
Positions (direct):
Al (0.248, 0.248, 0.801)
Al (0.752, 0.752, 0.801)
Al (0.752, 0.752, 0.199)
Al (0.248, 0.248, 0.199)
Al (0.752, 0.248, 0.801)
Al (0.752, 0.248, 0.199)
Al (0.248, 0.752, 0.199)
Al (0.248, 0.752, 0.801)
Pd (0.500, 0.000, 0.000)
Pd (0.000, 0.500, 0.000)
Y (0.500, 0.500, 0.500)

Results
magnetization	0.000	μB/atom
formation enthalpy at 0 K	-30	meV per atom

---

[11]
First-principles (PBE-GGA) data for crystalline KTe2Pd at its relaxed geometry, as listed in Alexandria.

Cell: 4.175 4.175 8.384 Å, 75.58 75.58 60.00°
Positions (direct):
Pd (0.667, 0.667, 0.000)
K (0.501, 0.501, 0.498)
Te (0.276, 0.276, 0.172)
Te (0.057, 0.057, 0.830)

Results
magnetization	0.000	μB/atom
energy	-3.638	eV/atom

---

[12]
First-principles (PBE-GGA) data for crystalline CsPbAu4 at its relaxed geometry, as listed in Alexandria.

Cell: 5.906 5.906 5.906 Å, 60.00 60.00 60.00°
Positions (direct):
Cs (0.000, 0.000, 0.000)
Au (0.126, 0.625, 0.625)
Au (0.625, 0.625, 0.126)
Au (0.625, 0.625, 0.625)
Au (0.625, 0.126, 0.625)
Pb (0.250, 0.250, 0.250)

Results
magnetization	0.000	μB/atom
formation enthalpy at 0 K	30	meV per atom

---

[13]
First-principles (PBE-GGA) data for crystalline HoPaOs at its relaxed geometry, as listed in Alexandria.

Cell: 3.529 3.529 6.005 Å, 107.09 107.09 90.00°
Positions (direct):
Ho (0.007, 0.007, 0.014)
Pa (0.304, 0.304, 0.608)
Os (0.689, 0.689, 0.378)

Results
magnetization	0.000	μB/atom
formation enthalpy at 0 K	-196	meV per atom
energy relative to the lowest polymorph listed for this composition	0	meV per atom

---

[14]
First-principles (PBE-GGA) data for crystalline Na2ZrTe at its relaxed geometry, as listed in Alexandria.

Cell: 9.166 9.166 7.084 Å, 49.69 49.69 90.00°
Positions (direct):
Te (0.750, 0.250, 0.500)
Te (0.000, 0.000, 0.000)
Zr (0.250, 0.750, 0.500)
Zr (0.500, 0.500, 0.000)
Na (0.086, 0.625, 0.250)
Na (0.664, 0.125, 0.250)
Na (0.875, 0.914, 0.750)
Na (0.375, 0.336, 0.750)

Results
magnetization	0.438	μB/atom
energy	-3.436	eV/atom

---

[15]
First-principles (PBE-GGA) data for crystalline Pa2ReSi2 at its relaxed geometry, as listed in Alexandria.

Cell: 4.428 4.428 7.510 Å, 90.00 90.00 120.00°
Positions (direct):
Pa (0.667, 0.333, 0.819)
Pa (0.333, 0.667, 0.181)
Re (0.000, 0.000, 0.000)
Si (0.000, 0.000, 0.654)
Si (0.000, 0.000, 0.346)

Results
magnetization	0.000	μB/atom
energy relative to the lowest polymorph listed for this composition	841	meV per atom

---

[16]
First-principles (PBE-GGA) data for crystalline YCoW at its relaxed geometry, as listed in Alexandria.

Cell: 3.190 3.190 6.381 Å, 90.00 90.00 120.00°
Positions (direct):
Co (0.000, 0.000, 0.041)
W (0.667, 0.333, 0.281)
Y (0.333, 0.667, 0.678)

Results
magnetization	0.000	μB/atom
formation enthalpy at 0 K	564	meV per atom
energy relative to the lowest polymorph listed for this composition	360	meV per atom

---

[17]
First-principles (PBE-GGA) data for crystalline La3Er at its relaxed geometry, as listed in Alexandria.

Cell: 3.716 5.968 6.386 Å, 90.00 90.00 90.00°
Positions (direct):
La (0.000, 0.500, 0.333)
La (0.500, 0.500, 0.834)
La (0.500, 0.000, 0.498)
Er (0.000, 0.000, 0.002)

Results
magnetization	0.000	μB/atom
formation enthalpy at 0 K	34	meV per atom
energy relative to the lowest polymorph listed for this composition	27	meV per atom

---

[18]
First-principles (PBE-GGA) data for crystalline SiSNCl2 at its relaxed geometry, as listed in Alexandria.

Cell: 4.238 4.238 4.601 Å, 90.00 90.00 90.00°
Positions (direct):
S (0.000, 0.000, 0.500)
Cl (0.000, 0.500, 0.000)
Cl (0.500, 0.000, 0.000)
Si (0.500, 0.500, 0.500)
N (0.000, 0.000, 0.000)

Results
magnetization	0.000	μB/atom
energy relative to the lowest polymorph listed for this composition	154	meV per atom

---

[19]
First-principles (PBE-GGA) data for crystalline KCoN at its relaxed geometry, as listed in Alexandria.

Cell: 6.063 6.070 9.405 Å, 90.00 108.36 90.00°
Positions (direct):
Co (0.868, 0.368, 0.500)
Co (0.132, 0.632, 0.500)
Co (0.632, 0.868, 0.500)
Co (0.368, 0.132, 0.500)
N (0.836, 0.663, 0.500)
N (0.664, 0.163, 0.500)
N (0.164, 0.337, 0.500)
N (0.336, 0.837, 0.500)
K (0.117, 0.000, 0.739)
K (0.617, 0.500, 0.739)
K (0.883, 0.000, 0.261)
K (0.383, 0.500, 0.261)

Results
magnetization	0.000	μB/atom
energy relative to the lowest polymorph listed for this composition	0	meV per atom

---

[20]
First-principles (PBE-GGA) data for crystalline Sr3Tl2Ag9 at its relaxed geometry, as listed in Alexandria.

Cell: 4.825 9.108 9.108 Å, 65.77 74.64 74.64°
Positions (direct):
Ag (0.000, 0.500, 0.500)
Ag (0.136, 0.148, 0.580)
Ag (0.328, 0.031, 0.313)
Ag (0.672, 0.969, 0.687)
Ag (0.672, 0.687, 0.969)
Ag (0.328, 0.313, 0.031)
Ag (0.864, 0.420, 0.852)
Ag (0.864, 0.852, 0.420)
Ag (0.136, 0.580, 0.148)
Sr (0.298, 0.702, 0.702)
Sr (0.000, 0.000, 0.000)
Sr (0.702, 0.298, 0.298)
Tl (0.500, 0.298, 0.702)
Tl (0.500, 0.702, 0.298)

Results
magnetization	0.000	μB/atom
formation enthalpy at 0 K	-181	meV per atom

---

[21]
First-principles (PBE-GGA) data for crystalline Ta3TiFe at its relaxed geometry, as listed in Alexandria.

Cell: 4.616 4.616 4.616 Å, 90.00 90.00 90.00°
Positions (direct):
Ta (0.000, 0.500, 0.000)
Ta (0.000, 0.000, 0.500)
Ta (0.500, 0.000, 0.000)
Ti (0.000, 0.000, 0.000)
Fe (0.500, 0.500, 0.500)

Results
magnetization	0.000	μB/atom
formation enthalpy at 0 K	1831	meV per atom
energy relative to the lowest polymorph listed for this composition	1123	meV per atom

---

[22]
First-principles (PBE-GGA) data for crystalline PmSmSbSe at its relaxed geometry, as listed in Alexandria.

Cell: 4.350 4.350 6.145 Å, 90.00 90.00 90.00°
Positions (direct):
Pm (0.500, 0.391, 0.093)
Sb (0.000, 0.891, 0.092)
Sm (0.000, 0.892, 0.592)
Se (0.500, 0.392, 0.593)

Results
magnetization	0.000	μB/atom
energy	-5.766	eV/atom

---

[23]
First-principles (PBE-GGA) data for crystalline AcAgAs at its relaxed geometry, as listed in Alexandria.

Cell: 5.007 5.007 5.007 Å, 60.00 60.00 60.00°
Positions (direct):
As (0.250, 0.250, 0.250)
Ac (0.500, 0.500, 0.500)
Ag (0.000, 0.000, 0.000)

Results
magnetization	0.000	μB/atom
formation enthalpy at 0 K	-537	meV per atom
energy relative to the lowest polymorph listed for this composition	234	meV per atom

---

[24]
First-principles (PBE-GGA) data for crystalline Dy4CdTe at its relaxed geometry, as listed in Alexandria.

Cell: 5.952 8.018 8.389 Å, 90.00 90.00 106.72°
Positions (direct):
Te (0.884, 0.915, 0.750)
Te (0.116, 0.085, 0.250)
Cd (0.183, 0.597, 0.750)
Cd (0.817, 0.403, 0.250)
Dy (0.003, 0.255, 0.553)
Dy (0.614, 0.476, 0.750)
Dy (0.386, 0.524, 0.250)
Dy (0.997, 0.745, 0.447)
Dy (0.003, 0.255, 0.947)
Dy (0.997, 0.745, 0.053)
Dy (0.569, 0.988, 0.250)
Dy (0.431, 0.012, 0.750)

Results
magnetization	0.000	μB/atom
energy	-4.002	eV/atom

---

[25]
First-principles (PBE-GGA) data for crystalline AlIn2Te at its relaxed geometry, as listed in Alexandria.

Cell: 8.261 8.261 8.261 Å, 28.10 28.10 28.10°
Positions (direct):
Al (0.754, 0.754, 0.754)
In (0.008, 0.008, 0.008)
In (0.252, 0.252, 0.252)
Te (0.487, 0.487, 0.487)

Results
magnetization	0.000	μB/atom
energy relative to the lowest polymorph listed for this composition	0	meV per atom

---

[26]
First-principles (PBE-GGA) data for crystalline Li2MoSe at its relaxed geometry, as listed in Alexandria.

Cell: 4.785 4.785 4.785 Å, 134.75 134.73 65.93°
Positions (direct):
Li (0.750, 0.250, 0.500)
Li (0.000, 0.000, 0.000)
Se (0.250, 0.750, 0.500)
Mo (0.500, 0.500, 0.000)

Results
magnetization	0.000	μB/atom
energy	-4.597	eV/atom